{"formula": "Mg7Cd5Pb", "functional": "GGA-PBE", "state": "optimized geometry", "volume_a3_per_atom": 23.6, "dft_energy_ev_per_cell": -19.8, "crystal_system": "orthorhombic", "magnetic_moment_mub_per_fu": 0.000, "rho_g_cm3": 5.09, "cell": [[5.966, 0.000, 0.000], [2.983, 7.164, 0.101], [2.983, 0.078, 7.165]], "species": ["Mg", "Mg", "Mg", "Cd", "Mg", "Cd", "Pb", "Mg", "Cd", "Mg", "Cd", "Mg", "Cd"], "frac_coords": [[0.508, 0.191, 0.793], [0.508, 0.793, 0.191], [0.345, 0.655, 0.655], [0.005, 0.999, 0.493], [0.640, 0.360, 0.360], [0.005, 0.493, 0.999], [0.960, 0.040, 0.040], [0.275, 0.225, 0.225], [0.503, 0.999, 0.493], [0.004, 0.339, 0.652], [0.503, 0.493, 0.999], [0.004, 0.652, 0.339], [0.741, 0.759, 0.759]]}